#i
Compound: FePBr2
Source: the Alexandria database
Functional: PBEsol
Structure: optimized geometry

Lattice parameters (Å, degrees): 3.3154 3.3154 25.6055 90.00 90.00 120.00
Space group R-3m (No. 166, hexagonal axes)
Inequivalent atoms, fractional coordinates:
Fe: 0.0000 0.0000 0.0000 (multiplicity 3)
P: 0.0000 0.0000 0.5000 (multiplicity 3)
Br: 0.0000 0.0000 0.2696 (multiplicity 6)

Computed properties:
The calculation puts the density of states at the Fermi level at 6.89 states/eV per cell.

#ii
Compound: FePBr2
Source: the Alexandria database
Functional: PBEsol
Structure: optimized geometry

Lattice parameters (Å, degrees): 3.218 3.218 7.961 90.00 90.00 90.00
Space group P4mm (No. 99)
Inequivalent atoms, fractional coordinates:
Fe: 0.000 0.000 0.000 (multiplicity 1)
P: 0.500 0.500 0.928 (multiplicity 1)
Br: 0.000 0.000 0.289 (multiplicity 1)
Br: 0.500 0.500 0.650 (multiplicity 1)

Computed properties:
The calculation puts the density of states at the Fermi level at 3.23 states/eV per cell.

Which of them is most stable? Easy: #ii.

#i
Compound: Sr2LiTl
Source: the Alexandria database
Functional: PBEsol
Structure: optimized geometry

Lattice parameters (Å, degrees): 12.613 3.902 5.808 90.00 110.90 90.00
Space group Cm (No. 8)
Inequivalent atoms, fractional coordinates:
Sr: 0.000 0.000 0.000 (multiplicity 2)
Sr: 0.205 0.000 0.661 (multiplicity 2)
Li: 0.282 0.500 0.240 (multiplicity 2)
Tl: 0.458 0.000 0.471 (multiplicity 2)

Computed properties:
The calculation puts the density of states at the Fermi level at 4.63 states/eV per cell.

#ii
Compound: Sr2LiTl
Source: the Alexandria database
Functional: PBEsol
Structure: optimized geometry

Lattice parameters (Å, degrees): 10.657 4.037 7.005 90.00 101.96 90.00
Space group C2/m (No. 12)
Inequivalent atoms, fractional coordinates:
Sr: 0.242 0.000 0.232 (multiplicity 4)
Li: 0.000 0.000 0.500 (multiplicity 2)
Tl: 0.000 0.500 0.000 (multiplicity 2)

Computed properties:
The calculation puts the density of states at the Fermi level at 6.25 states/eV per cell.

Which of them is most stable? Easy: #i.

#i
Compound: MnZn2Co
Source: the Alexandria database
Functional: PBEsol
Structure: optimized geometry

Lattice parameters (Å, degrees): 3.640 3.640 7.359 90.00 90.00 90.00
Space group I4/mmm (No. 139)
Inequivalent atoms, fractional coordinates:
Mn: 0.000 0.000 0.000 (multiplicity 2)
Zn: 0.000 0.500 0.250 (multiplicity 4)
Co: 0.000 0.000 0.500 (multiplicity 2)

Computed properties:
The calculation puts the density of states at the Fermi level at 4.26 states/eV per cell.

#ii
Compound: MnZn2Co
Source: the Alexandria database
Functional: PBEsol
Structure: optimized geometry

Lattice parameters (Å, degrees): 3.673 3.673 7.188 90.00 90.00 90.00
Space group I-4m2 (No. 119)
Inequivalent atoms, fractional coordinates:
Mn: 0.000 0.000 0.000 (multiplicity 2)
Zn: 0.000 0.000 0.500 (multiplicity 2)
Zn: 0.000 0.500 0.750 (multiplicity 2)
Co: 0.000 0.500 0.250 (multiplicity 2)

Computed properties:
The calculation puts the density of states at the Fermi level at 4.30 states/eV per cell.

Which of them is most stable? Easy: #i.

#i
Compound: HgTeCl2
Source: the Alexandria database
Functional: PBEsol
Structure: optimized geometry

Lattice parameters (Å, degrees): 7.174 7.174 7.174 90.00 90.00 90.00
Space group Fm-3m (No. 225)
Inequivalent atoms, fractional coordinates:
Hg: 0.000 0.000 0.000 (multiplicity 4)
Te: 0.000 0.000 0.500 (multiplicity 4)
Cl: 0.250 0.250 0.250 (multiplicity 8)

Computed properties:
The calculation puts the density of states at the Fermi level at 17.24 states/eV per cell.

#ii
Compound: HgTeCl2
Source: the Alexandria database
Functional: PBEsol
Structure: optimized geometry

Lattice parameters (Å, degrees): 3.464 3.464 7.922 90.00 90.00 90.00
Space group P4mm (No. 99)
Inequivalent atoms, fractional coordinates:
Hg: 0.000 0.000 0.000 (multiplicity 1)
Te: 0.500 0.500 0.261 (multiplicity 1)
Cl: 0.000 0.000 0.476 (multiplicity 1)
Cl: 0.500 0.500 0.817 (multiplicity 1)

Computed properties:
The calculation puts the density of states at the Fermi level at 2.74 states/eV per cell.

Which of them is most stable? Easy: #ii.

#i
Compound: CaYRe2
Source: the Alexandria database
Functional: PBEsol
Structure: optimized geometry

Lattice parameters (Å, degrees): 2.905 4.787 6.103 90.00 99.24 90.00
Space group P2/m (No. 10)
Inequivalent atoms, fractional coordinates:
Ca: 0.000 0.000 0.000 (multiplicity 1)
Y: 0.500 0.000 0.500 (multiplicity 1)
Re: 0.195 0.500 0.689 (multiplicity 2)

Computed properties:
The calculation puts the density of states at the Fermi level at 4.15 states/eV per cell.

#ii
Compound: CaYRe2
Source: the Alexandria database
Functional: PBEsol
Structure: optimized geometry

Lattice parameters (Å, degrees): 5.645 9.803 2.709 90.00 90.00 90.00
Space group Cmmm (No. 65)
Inequivalent atoms, fractional coordinates:
Ca: 0.000 0.000 0.000 (multiplicity 2)
Y: 0.000 0.500 0.000 (multiplicity 2)
Re: 0.250 0.250 0.500 (multiplicity 4)

Computed properties:
The calculation puts the density of states at the Fermi level at 8.49 states/eV per cell.

Which of them is most stable? Easy: #i.

#i
Compound: Li2CuPO4
Source: the Alexandria database
Functional: PBEsol
Structure: optimized geometry

Lattice parameters (Å, degrees): 5.020 6.123 10.688 90.00 90.77 90.00
Space group Pm (No. 6)
Inequivalent atoms, fractional coordinates:
Li: 0.000 0.000 0.000 (multiplicity 1)
Li: 0.001 0.248 0.233 (multiplicity 2)
Li: 0.107 0.000 0.499 (multiplicity 1)
Li: 0.504 0.256 0.414 (multiplicity 2)
Li: 0.600 0.254 0.914 (multiplicity 2)
Cu: 0.063 0.303 0.742 (multiplicity 2)
Cu: 0.559 0.500 0.181 (multiplicity 1)
Cu: 0.599 0.500 0.691 (multiplicity 1)
P: 0.013 0.500 0.470 (multiplicity 1)
P: 0.111 0.500 0.990 (multiplicity 1)
P: 0.492 0.000 0.161 (multiplicity 1)
P: 0.613 0.000 0.661 (multiplicity 1)
O: 0.024 0.500 0.127 (multiplicity 1)
O: 0.107 0.290 0.403 (multiplicity 2)
O: 0.152 0.500 0.601 (multiplicity 1)
O: 0.184 0.000 0.160 (multiplicity 1)
O: 0.420 0.500 0.983 (multiplicity 1)
O: 0.498 0.000 0.527 (multiplicity 1)
O: 0.516 0.201 0.737 (multiplicity 2)
O: 0.599 0.000 0.026 (multiplicity 1)
O: 0.601 0.201 0.235 (multiplicity 2)
O: 0.706 0.500 0.481 (multiplicity 1)
O: 0.924 0.000 0.657 (multiplicity 1)
O: 0.999 0.289 0.925 (multiplicity 2)

#ii
Compound: Li2CuPO4
Source: the Alexandria database
Functional: PBEsol
Structure: optimized geometry

Lattice parameters (Å, degrees): 4.962 5.318 7.855 90.00 129.13 90.00
Space group Pc (No. 7)
Inequivalent atoms, fractional coordinates:
Li: 0.000 0.159 0.000 (multiplicity 2)
Li: 0.748 0.328 0.247 (multiplicity 2)
Cu: 0.242 0.342 0.753 (multiplicity 2)
P: 0.495 0.170 0.499 (multiplicity 2)
O: 0.174 0.167 0.491 (multiplicity 2)
O: 0.399 0.299 0.289 (multiplicity 2)
O: 0.616 0.103 0.009 (multiplicity 2)
O: 0.794 0.316 0.709 (multiplicity 2)

Which of them is most stable? Easy: #i.

#i
Compound: AlSiTc
Source: the Alexandria database
Functional: PBEsol
Structure: optimized geometry

Lattice parameters (Å, degrees): 5.680 5.680 5.680 90.00 90.00 90.00
Space group F-43m (No. 216)
Inequivalent atoms, fractional coordinates:
Al: 0.000 0.000 0.000 (multiplicity 4)
Si: 0.250 0.250 0.750 (multiplicity 4)
Tc: 0.000 0.000 0.500 (multiplicity 4)

Computed properties:
The calculation puts the density of states at the Fermi level at 5.49 states/eV per cell.

#ii
Compound: AlSiTc
Source: the Alexandria database
Functional: PBEsol
Structure: optimized geometry

Lattice parameters (Å, degrees): 3.142 3.142 8.066 90.00 90.00 90.00
Space group I4mm (No. 107)
Inequivalent atoms, fractional coordinates:
Al: 0.000 0.000 0.000 (multiplicity 2)
Si: 0.000 0.000 0.676 (multiplicity 2)
Tc: 0.000 0.000 0.326 (multiplicity 2)

Which of them is most stable? Easy: #ii.

#i
Compound: SrMo2Au
Source: the Alexandria database
Functional: PBEsol
Structure: optimized geometry

Lattice parameters (Å, degrees): 3.649 3.649 6.794 90.00 90.00 90.00
Space group P4/mmm (No. 123)
Inequivalent atoms, fractional coordinates:
Sr: 0.000 0.000 0.000 (multiplicity 1)
Mo: 0.500 0.500 0.344 (multiplicity 2)
Au: 0.000 0.000 0.500 (multiplicity 1)

Computed properties:
The calculation puts the density of states at the Fermi level at 5.94 states/eV per cell.

#ii
Compound: SrMo2Au
Source: the Alexandria database
Functional: PBEsol
Structure: optimized geometry

Lattice parameters (Å, degrees): 2.749 2.749 9.755 90.00 90.00 90.00
Space group P4/mmm (No. 123)
Inequivalent atoms, fractional coordinates:
Sr: 0.000 0.000 0.000 (multiplicity 1)
Mo: 0.500 0.500 0.281 (multiplicity 2)
Au: 0.000 0.000 0.500 (multiplicity 1)

Computed properties:
The calculation puts the density of states at the Fermi level at 2.64 states/eV per cell.

Which of them is most stable? Easy: #i.

#i
Compound: AgPt2
Source: the Alexandria database
Functional: PBEsol
Structure: optimized geometry

Lattice parameters (Å, degrees): 6.879 5.589 4.796 90.00 91.18 90.00
Space group P2_1/c (No. 14)
Inequivalent atoms, fractional coordinates:
Ag: 0.163 0.128 0.083 (multiplicity 4)
Pt: 0.171 0.628 0.080 (multiplicity 4)
Pt: 0.497 0.623 0.750 (multiplicity 4)

Computed properties:
The calculation puts the density of states at the Fermi level at 13.25 states/eV per cell.

#ii
Compound: AgPt2
Source: the Alexandria database
Functional: PBEsol
Structure: optimized geometry

Lattice parameters (Å, degrees): 8.028 2.760 8.320 90.00 90.46 90.00
Space group P2_1/m (No. 11)
Inequivalent atoms, fractional coordinates:
Ag: 0.124 0.250 0.247 (multiplicity 2)
Ag: 0.130 0.250 0.917 (multiplicity 2)
Pt: 0.127 0.250 0.579 (multiplicity 2)
Pt: 0.375 0.750 0.416 (multiplicity 2)
Pt: 0.375 0.750 0.744 (multiplicity 2)
Pt: 0.383 0.750 0.086 (multiplicity 2)

Computed properties:
The calculation puts the density of states at the Fermi level at 15.14 states/eV per cell.

Which of them is most stable? Easy: #ii.

#i
Compound: TcRh2
Source: the Alexandria database
Functional: PBEsol
Structure: optimized geometry

Lattice parameters (Å, degrees): 2.679 2.679 11.347 90.00 90.00 90.00
Space group I4/mmm (No. 139)
Inequivalent atoms, fractional coordinates:
Tc: 0.000 0.000 0.000 (multiplicity 2)
Rh: 0.000 0.000 0.337 (multiplicity 4)

Computed properties:
The calculation puts the density of states at the Fermi level at 5.24 states/eV per cell.

#ii
Compound: TcRh2
Source: the Alexandria database
Functional: PBEsol
Structure: optimized geometry

Lattice parameters (Å, degrees): 2.688 14.053 4.288 90.00 90.00 90.00
Space group Cmcm (No. 63)
Inequivalent atoms, fractional coordinates:
Tc: 0.000 0.113 0.250 (multiplicity 4)
Rh: 0.000 0.224 0.750 (multiplicity 4)
Rh: 0.000 0.446 0.250 (multiplicity 4)

Computed properties:
The calculation puts the density of states at the Fermi level at 8.55 states/eV per cell.

Which of them is most stable? Easy: #ii.

#i
Compound: TaIn2Mo
Source: the Alexandria database
Functional: PBEsol
Structure: optimized geometry

Lattice parameters (Å, degrees): 2.899 4.727 5.389 90.00 96.37 90.00
Space group Pm (No. 6)
Inequivalent atoms, fractional coordinates:
Ta: 0.000 0.000 0.000 (multiplicity 1)
In: 0.526 0.000 0.520 (multiplicity 1)
In: 0.616 0.500 0.231 (multiplicity 1)
Mo: 0.142 0.500 0.749 (multiplicity 1)

Computed properties:
The calculation puts the density of states at the Fermi level at 1.66 states/eV per cell.

#ii
Compound: TaIn2Mo
Source: the Alexandria database
Functional: PBEsol
Structure: optimized geometry

Lattice parameters (Å, degrees): 9.950 2.879 5.171 90.00 96.10 90.00
Space group Cm (No. 8)
Inequivalent atoms, fractional coordinates:
Ta: 0.000 0.000 0.000 (multiplicity 2)
In: 0.251 0.000 0.745 (multiplicity 2)
In: 0.495 0.000 0.488 (multiplicity 2)
Mo: 0.251 0.500 0.236 (multiplicity 2)

Computed properties:
The calculation puts the density of states at the Fermi level at 4.62 states/eV per cell.

Which of them is most stable? Easy: #i.

#i
Compound: BeSiRu2
Source: the Alexandria database
Functional: PBEsol
Structure: optimized geometry

Lattice parameters (Å, degrees): 5.670 5.670 5.670 90.00 90.00 90.00
Space group Fm-3m (No. 225)
Inequivalent atoms, fractional coordinates:
Be: 0.000 0.000 0.000 (multiplicity 4)
Si: 0.000 0.000 0.500 (multiplicity 4)
Ru: 0.250 0.250 0.250 (multiplicity 8)

Computed properties:
The calculation puts the density of states at the Fermi level at 10.07 states/eV per cell.

#ii
Compound: BeSiRu2
Source: the Alexandria database
Functional: PBEsol
Structure: optimized geometry

Lattice parameters (Å, degrees): 2.850 2.850 5.603 90.00 90.00 90.00
Space group P4/mmm (No. 123)
Inequivalent atoms, fractional coordinates:
Be: 0.000 0.000 0.000 (multiplicity 1)
Si: 0.000 0.000 0.500 (multiplicity 1)
Ru: 0.500 0.500 0.245 (multiplicity 2)

Computed properties:
The calculation puts the density of states at the Fermi level at 2.53 states/eV per cell.

Which of them is most stable? Easy: #i.